A relaxed VCuBiF2 crystal, computed with PBE+U.

Properties
- D(E_F): 2.265 states/eV/f.u.
- Magnetization: 0.54 μB/atom
- Symmetry: P4/mmm, No. 123
- Total energy: -4.329 eV per atom
- Crystal system: tetragonal

The structure in CIF format:
```
data_VCuBiF2
_space_group_name_H-M_alt 'P 1'
_space_group_IT_number 1
_cell_length_a 4.052
_cell_length_b 4.052
_cell_length_c 5.645
_cell_angle_alpha 90.00
_cell_angle_beta 90.00
_cell_angle_gamma 90.00
loop_
_space_group_symop_operation_xyz
'x,y,z'
loop_
_atom_site_label
_atom_site_type_symbol
_atom_site_fract_x
_atom_site_fract_y
_atom_site_fract_z
V1 V 0.000 0.000 0.000
Cu1 Cu 0.500 0.500 0.500
Bi1 Bi 0.500 0.500 0.000
F1 F 0.000 0.500 0.500
F2 F 0.500 0.000 0.500
```